Entry 1:
Computed, not measured: an optimized crystal structure of Pm3NdSc3 at the GGA-PBE level of DFT.

Structure (POSCAR):
```
Pm3NdSc3
1.0
7.6450 0.4346 3.9937
2.6083 7.1995 3.9937
0.5837 0.4346 8.6056
Pm Nd Sc
6 2 6
Direct
0.7166 0.5676 0.0719
0.0719 0.7166 0.5676
0.5676 0.0719 0.7166
0.4324 0.9281 0.2834
0.9281 0.2834 0.4324
0.2834 0.4324 0.9281
0.3453 0.3453 0.3453
0.6547 0.6547 0.6547
0.7250 0.1666 0.9392
0.1666 0.9392 0.7250
0.9392 0.7250 0.1666
0.0608 0.2750 0.8334
0.8334 0.0608 0.2750
0.2750 0.8334 0.0608
```

spin magnetization = 0.000 μB/atom
calculated formation energy = 0.180 eV per atom
crystal system = trigonal
energy = -5.25 eV/atom
calculated volume = 439 Å³ per cell

***

Entry 2:
Computed, not measured: an optimized crystal structure of PmNd6Sc2 at the GGA-PBE level of DFT.

Structure (POSCAR):
```
PmNd6Sc2
1.0
-2.7029 -2.3686 -7.2428
2.0501 -7.6276 1.7294
-9.4599 -1.6218 4.0607
Pm Nd Sc
2 12 4
Direct
0.5000 0.5000 0.0000
0.0000 0.0000 0.5000
0.7425 0.7425 0.1694
0.7425 0.7425 0.8306
0.7322 0.7322 0.5000
0.7678 0.2322 0.0000
0.7575 0.2425 0.3306
0.7575 0.2425 0.6694
0.2425 0.7575 0.3306
0.2425 0.7575 0.6694
0.2322 0.7678 0.0000
0.2678 0.2678 0.5000
0.2575 0.2575 0.1694
0.2575 0.2575 0.8306
0.5000 0.5000 0.3365
0.5000 0.5000 0.6635
0.0000 0.0000 0.1635
0.0000 0.0000 0.8365
```

spin magnetization = 0.000 μB/atom
calculated formation energy = 0.561 eV per atom
crystal system = tetragonal
energy = -4.55 eV/atom
calculated volume = 681 Å³ per cell

***

Entry 3:
Computed, not measured: an optimized crystal structure of Pm7Nd12Sc at the GGA-PBE level of DFT.

Structure (POSCAR):
```
Pm7Nd12Sc
1.0
9.4609 -0.1518 -0.2279
-2.7765 9.0455 -0.2279
-2.7765 -3.6943 8.2599
Pm Nd Sc
7 12 1
Direct
0.1216 0.6750 0.0003
0.3250 0.9997 0.8784
0.9997 0.8784 0.3250
0.5000 0.5000 0.5000
0.0003 0.1216 0.6750
0.6750 0.0003 0.1216
0.8784 0.3250 0.9997
0.7784 0.3047 0.5697
0.6953 0.4303 0.2216
0.3685 0.0553 0.2870
0.9447 0.7130 0.6315
0.4303 0.2216 0.6953
0.7130 0.6315 0.9447
0.2870 0.3685 0.0553
0.5697 0.7784 0.3047
0.0553 0.2870 0.3685
0.6315 0.9447 0.7130
0.3047 0.5697 0.7784
0.2216 0.6953 0.4303
0.0000 0.0000 0.0000
```

spin magnetization = 0.000 μB/atom
calculated formation energy = 0.144 eV per atom
crystal system = trigonal
energy = -4.70 eV/atom
calculated volume = 687 Å³ per cell

***

Entry 4:
Computed, not measured: an optimized crystal structure of Pm2NdSc at the GGA-PBE level of DFT.

Structure (POSCAR):
```
Pm2NdSc
1.0
3.5966 0.0000 0.0000
0.0000 3.5966 0.0000
0.0000 0.0000 9.9023
Sc Nd Pm
1 1 2
Direct
0.5000 0.5000 0.0000
0.5000 0.5000 0.5000
0.0000 0.0000 0.7659
0.0000 0.0000 0.2341
```

spin magnetization = 0.000 μB/atom
calculated formation energy = 0.046 eV per atom
crystal system = tetragonal
energy = -5.10 eV/atom
calculated volume = 128 Å³ per cell

***

Entry 5:
Computed, not measured: an optimized crystal structure of Pm12Nd5Sc2 at the GGA-PBE level of DFT.

Structure (POSCAR):
```
Pm12Nd5Sc2
1.0
3.5476 11.2488 0.2780
-3.5476 11.2488 0.2780
0.0000 3.0677 8.2294
Pm Nd Sc
12 5 2
Direct
0.8674 0.8674 0.0340
0.9507 0.4556 0.2071
0.4556 0.9507 0.2071
0.8475 0.3599 0.6238
0.3599 0.8475 0.6238
0.5488 0.5488 0.3022
0.4512 0.4512 0.6978
0.1525 0.6401 0.3762
0.6401 0.1525 0.3762
0.0493 0.5444 0.7929
0.5444 0.0493 0.7929
0.1326 0.1326 0.9660
0.7526 0.7526 0.4869
0.6472 0.6472 0.9074
0.0000 0.0000 0.5000
0.3528 0.3528 0.0926
0.2474 0.2474 0.5131
0.2656 0.7344 0.0000
0.7344 0.2656 0.0000
```

spin magnetization = 0.000 μB/atom
calculated formation energy = 0.148 eV per atom
crystal system = monoclinic
energy = -4.77 eV/atom
calculated volume = 651 Å³ per cell

***

Entry 6:
Computed, not measured: an optimized crystal structure of Pm4Nd5Sc at the GGA-PBE level of DFT.

Structure (POSCAR):
```
Pm4Nd5Sc
1.0
-1.7144 3.1266 0.4555
-5.0600 -4.1536 9.4660
10.8887 4.3022 -2.7332
Pm Nd Sc
4 5 1
Direct
0.6039 0.9151 0.2078
0.0838 0.3682 0.1676
0.3961 0.0849 0.7922
0.9162 0.6318 0.8324
0.2058 0.3012 0.4116
0.1910 0.7983 0.3820
0.8090 0.2017 0.6180
0.5000 0.5000 0.0000
0.7942 0.6988 0.5884
0.5000 0.0000 0.0000
```

spin magnetization = 0.000 μB/atom
calculated formation energy = 0.061 eV per atom
crystal system = monoclinic
energy = -4.86 eV/atom
calculated volume = 340 Å³ per cell